# Re3P (GGA-PBE, relaxed)
data_Re3P
_chemical_formula_sum 'Re12 P4'
_symmetry_space_group_name_H-M 'P 63/m m c'
_symmetry_Int_Tables_number 194
_symmetry_space_group_name_Hall '-P 6c 2c'
_cell_length_a 5.5815
_cell_length_b 5.5815
_cell_length_c 8.5272
_cell_angle_alpha 90.00
_cell_angle_beta 90.00
_cell_angle_gamma 120.00
loop_
_atom_site_label
_atom_site_fract_x
_atom_site_fract_y
_atom_site_fract_z
Re1 0.0000 0.5000 0.0000
Re2 0.1619 0.3238 0.2500
P1 0.0000 0.0000 0.0000
P2 0.3333 0.6667 0.7500
# **ΔE to the lowest computed polymorph**: 0.6674 eV per atom
# **Magnetization**: 0.00 μB per cell
# **E**: -10.14 eV/atom
# **ΔH_f (0 K)**: 0.546 eV per atom